1.
Below is a geometry-optimized Ba2SrOsO8 structure, with properties calculated at the GGA-PBE level.

Output
- formation energy from raw total energies (meV per atom) = -1808

```
12
Lattice="-4.9533 0.1089 -2.7462 1.6108 -3.4559 -2.9464 -1.7668 -6.2972 3.1022" Properties=species:S:1:pos:R:3 pbc="T T T"
Sr -0.8834 -3.1486 1.5511
O -1.0799 -1.2413 -0.8749
O -5.7951 -5.7180 -1.2736
O -2.2153 -6.0468 -2.5011
O -3.7284 -1.2442 -2.3409
O -4.0294 -8.4028 -1.7155
O 0.6858 -3.9262 -1.3168
O -1.3808 -8.3999 -0.2495
O -2.8940 -3.5974 -0.0893
Ba -3.2716 -6.2127 -0.0559
Ba -1.8377 -3.4315 -2.5345
Os 0.0000 0.0000 0.0000
```



2.
Below is a geometry-optimized Pm2Sm3Tm5 structure, with properties calculated at the GGA-PBE level.

Output
- energy relative to the elements (meV per atom) = 403

```
20
Lattice="-5.3664 4.1092 0.5046 -8.0314 -5.8017 7.3528 -2.8039 0.4537 12.0067" Properties=species:S:1:pos:R:3 pbc="T T T"
Sm -1.3416 1.0273 0.1261
Sm -3.4054 0.1164 8.3562
Sm -4.0248 3.0819 0.3784
Sm -12.7963 -1.3552 11.5079
Sm -7.5248 -0.3125 13.5599
Sm -8.6769 -0.9263 6.3042
Pm -2.8469 1.4891 3.1172
Pm -6.5908 2.2744 2.4252
Pm -13.3548 -2.7279 16.7468
Pm -9.6109 -3.5132 17.4388
Tm -6.9710 1.0948 7.9878
Tm -8.0877 2.7506 5.3876
Tm -10.7972 -1.9348 14.7288
Tm -8.1140 -3.9894 14.4765
Tm -9.2307 -2.3336 11.8762
Tm -5.4045 0.6960 5.1353
Tm -11.0143 0.7974 12.9293
Tm -6.7593 -1.6467 9.8059
Tm -9.4424 0.4079 10.0582
Tm -5.1874 -2.0362 6.9347
```



3.
Below is a geometry-optimized Mg7Rh structure, with properties calculated at the GGA-PBE level.

Output
- energy relative to the elements (meV per atom) = -84

```
8
Lattice="-2.4187 -2.4636 5.0059 -5.7465 1.2615 1.5378 -4.2882 -4.2840 -0.4868" Properties=species:S:1:pos:R:3 pbc="T T T"
Mg -3.3535 -3.3738 2.2595
Mg -5.0173 -1.5112 0.5255
Mg -4.0826 -0.6010 3.2718
Mg -2.8732 0.6308 0.7689
Mg -6.2267 -2.7430 3.0284
Mg -2.1441 -2.1420 -0.2434
Mg -1.2094 -1.2318 2.5029
Rh 0.0000 0.0000 0.0000
```



4.
Below is a geometry-optimized Ba3Ac2Sn4 structure, with properties calculated at the GGA-PBE level.

Output
- energy relative to the elements (meV per atom) = -525

```
9
Lattice="5.0528 0.0000 0.0000 -2.5264 6.6175 0.4010 0.0000 -1.0929 11.1524" Properties=species:S:1:pos:R:3 pbc="T T T"
Sn 0.0000 0.3316 6.8290
Sn 2.5264 2.6094 0.9172
Sn 0.0000 2.9152 10.6362
Sn 2.5264 5.1930 4.7245
Ac 0.0000 4.0570 2.8421
Ac 2.5264 1.4675 8.7114
Ba 0.0000 4.3444 7.1953
Ba 2.5264 1.1801 4.3581
Ba 0.0000 0.0000 0.0000
```



5.
Below is a geometry-optimized TeIrS2 structure, with properties calculated at the GGA-PBE level.

Output
- formation energy from raw total energies (meV per atom) = 12

```
8
Lattice="-2.2079 -2.6410 -0.5177 -1.3160 -2.2776 5.8964 -6.4223 5.2524 0.5954" Properties=species:S:1:pos:R:3 pbc="T T T"
S -4.4061 0.0341 1.2173
S -7.7502 2.1071 4.9617
S -2.1961 -1.7733 1.0124
S -5.5402 0.2997 4.7568
Te -3.4111 -1.3151 3.8585
Te -6.5352 1.6489 2.1156
Ir -2.2260 0.3352 2.0832
Ir -7.7203 -0.0014 3.8910
```



6.
Below is a geometry-optimized Mn3HgBr structure, with properties calculated at the GGA-PBE level.

Output
- formation energy from raw total energies (meV per atom) = 936

```
5
Lattice="-3.6921 0.2019 2.8963 2.3603 -2.5198 3.1845 1.6907 3.9587 1.8793" Properties=species:S:1:pos:R:3 pbc="T T T"
Mn 1.1802 -1.2599 1.5922
Mn 0.8454 1.9793 0.9396
Mn -1.8461 0.1010 1.4482
Br 0.0000 0.0000 0.0000
Hg 0.1795 0.8204 3.9801
```



7.
Below is a geometry-optimized SmPa3Rh6 structure, with properties calculated at the GGA-PBE level.

Output
- energy relative to the elements (meV per atom) = -668

```
20
Lattice="3.7877 0.0000 0.0000 0.0000 11.2350 -3.7288 0.0000 -0.8444 10.0749" Properties=species:S:1:pos:R:3 pbc="T T T"
Pa 2.8407 1.4059 3.9636
Pa 0.9469 2.8253 7.2603
Pa 0.9469 8.8015 6.5435
Pa 2.8407 1.5892 -0.1974
Pa 2.8407 7.5653 -0.9141
Pa 0.9469 8.9848 2.3825
Rh 2.8407 4.2637 6.0816
Rh 2.8407 9.8671 0.7538
Rh 0.9469 6.0120 7.4310
Rh 0.9469 -0.1064 8.2801
Rh 0.9469 0.5236 5.5923
Rh 2.8407 7.1309 2.2418
Rh 2.8407 10.4971 -1.9339
Rh 0.9469 6.1270 0.2645
Rh 2.8407 8.8159 4.5691
Rh 0.9469 3.2597 4.1043
Rh 2.8407 4.3787 -1.0848
Rh 0.9469 1.5747 1.7771
Sm 0.9469 6.1046 4.4636
Sm 2.8407 4.2860 1.8825
```



8.
Below is a geometry-optimized YMn2Cu structure, with properties calculated at the GGA-PBE level.

Output
- energy relative to the elements (meV per atom) = 37

```
4
Lattice="-2.9164 0.0360 2.8891 -3.7270 -1.5098 -0.8269 -0.7728 -4.8776 2.1976" Properties=species:S:1:pos:R:3 pbc="T T T"
Mn -2.0894 -0.8717 0.8184
Mn -6.5924 -1.6294 2.1158
Y -3.7134 -3.1587 2.1240
Cu -5.3726 -5.3410 3.3937
```